Density functional theory data (GGA-PBE) for a geometry-optimized La4Cu3Sb8 structure.

uncorrected formation energy	-0.7618	eV per atom
VASP energy	-5.094	eV per atom
energy above the lowest structure with this stoichiometry	5	meV/atom
crystal system	tetragonal

```
La4Cu3Sb8
1.0
4.4372 0.0000 0.0000
0.0000 4.4372 0.0000
0.0000 0.0000 20.1688
La Cu Sb
4 3 8
Cartesian
0.0000 2.2186 2.3484
0.0000 2.2186 12.6381
2.2186 0.0000 7.5307
2.2186 0.0000 17.8203
0.0000 0.0000 0.0000
0.0000 0.0000 10.0844
2.2186 2.2186 10.0844
0.0000 0.0000 4.9403
0.0000 0.0000 15.2284
0.0000 2.2186 8.5633
0.0000 2.2186 18.8368
2.2186 0.0000 1.3319
2.2186 0.0000 11.6055
2.2186 2.2186 4.9502
2.2186 2.2186 15.2186
```